Material: TbPuSbO2
Method: DFT, PBE
State: relaxed

Cell and atoms, written as CIF:
```
data_TbPuSbO2
_chemical_formula_sum 'Tb1 Pu1 Sb1 O2'
_symmetry_space_group_name_H-M 'P 1'
_symmetry_Int_Tables_number 1
_cell_length_a 7.047
_cell_length_b 7.047
_cell_length_c 7.047
_cell_angle_alpha 147.96
_cell_angle_beta 147.96
_cell_angle_gamma 45.94
loop_
_symmetry_equiv_pos_as_xyz
'x,y,z'
loop_
_atom_site_label
_atom_site_fract_x
_atom_site_fract_y
_atom_site_fract_z
_atom_site_occupancy
Tb1 0.000 0.000 0.000 1
Pu1 0.318 0.318 0.000 1
Sb1 0.662 0.662 0.000 1
O1 0.410 0.910 0.500 1
O2 0.910 0.410 0.500 1
```

Computed properties:
The uncorrected formation energy is -2.473 eV per atom.

---

Material: MgMn2Cr
Method: DFT, PBE
State: relaxed

Cell and atoms, written as CIF:
```
data_MgMn2Cr
_chemical_formula_sum 'Mg1 Mn2 Cr1'
_symmetry_space_group_name_H-M 'P 1'
_symmetry_Int_Tables_number 1
_cell_length_a 3.166
_cell_length_b 4.171
_cell_length_c 4.274
_cell_angle_alpha 90.00
_cell_angle_beta 90.00
_cell_angle_gamma 90.00
loop_
_symmetry_equiv_pos_as_xyz
'x,y,z'
loop_
_atom_site_label
_atom_site_fract_x
_atom_site_fract_y
_atom_site_fract_z
_atom_site_occupancy
Mg1 0.000 0.000 0.000 1
Mn1 0.000 0.500 0.500 1
Mn2 0.500 0.500 0.000 1
Cr1 0.500 0.000 0.500 1
```

Computed properties:
As for the formation enthalpy at 0 K: 339 meV/atom.

---

Number 1: E -45.36 eV per cell. Number 2: E -28.20 eV per cell.